# 1
VASP calculation (SCAN) on a crystal of Ag2HgPt relaxed with PBEsol.

Calculated values
The calculated total energy is -200.95 eV per cell. As for the space-group type: F-43m (216).

```
Ag2HgPt
1.0
0.000 3.236 3.236
3.236 0.000 3.236
3.236 3.236 0.000
Ag Hg Pt
2 1 1
Direct
0.000 0.000 0.000 Ag
0.250 0.250 0.250 Ag
0.750 0.750 0.750 Hg
0.500 0.500 0.500 Pt
```

# 2
VASP calculation (SCAN) on a crystal of Mg14AlZnO16 relaxed with PBEsol.

Calculated values
The calculation puts the formation energy without anion corrections at -2.8481 eV/atom. The calculated total energy is -281.74 eV per cell. As for the space-group type: Pmmm (47).

```
Mg14AlZnO16
1.0
4.216 0.000 0.000
0.000 8.491 0.000
0.000 0.000 8.530
Mg Al Zn O
14 1 1 16
Direct
0.000 0.000 0.000 Mg
0.000 0.000 0.500 Mg
0.000 0.250 0.247 Mg
0.000 0.250 0.753 Mg
0.000 0.750 0.247 Mg
0.000 0.750 0.753 Mg
0.500 0.000 0.249 Mg
0.500 0.000 0.751 Mg
0.500 0.250 0.000 Mg
0.500 0.250 0.500 Mg
0.500 0.500 0.248 Mg
0.500 0.500 0.752 Mg
0.500 0.750 0.000 Mg
0.500 0.750 0.500 Mg
0.000 0.500 0.500 Al
0.000 0.500 0.000 Zn
0.000 0.000 0.257 O
0.000 0.000 0.743 O
0.000 0.236 0.000 O
0.000 0.263 0.500 O
0.000 0.500 0.284 O
0.000 0.500 0.716 O
0.000 0.737 0.500 O
0.000 0.764 0.000 O
0.500 0.000 0.000 O
0.500 0.000 0.500 O
0.500 0.251 0.251 O
0.500 0.251 0.749 O
0.500 0.500 0.000 O
0.500 0.500 0.500 O
0.500 0.749 0.251 O
0.500 0.749 0.749 O
```

# 3
VASP calculation (SCAN) on a crystal of CsGaTe3 relaxed with PBEsol.

Calculated values
The calculation puts the formation energy without anion corrections at 0.9686 eV/atom. The calculated total energy is -161.07 eV per cell. As for the space-group type: Pm-3m (221).

```
CsGaTe3
1.0
6.152 0.000 0.000
0.000 6.152 0.000
0.000 0.000 6.152
Cs Ga Te
1 1 3
Direct
0.000 0.000 0.000 Cs
0.500 0.500 0.500 Ga
0.000 0.000 0.500 Te
0.000 0.500 0.000 Te
0.500 0.000 0.000 Te
```

# 4
VASP calculation (SCAN) on a crystal of SbH2I relaxed with PBEsol.

Calculated values
The calculated total energy is -162.10 eV per cell. As for the space-group type: P1 (1).

```
SbH2I
1.0
4.323 0.000 0.000
0.027 4.352 0.000
0.573 0.129 10.730
Sb H I
2 4 2
Direct
0.000 0.000 0.000 Sb
0.491 0.479 0.000 Sb
0.300 0.739 0.529 H
0.327 0.786 0.596 H
0.668 0.200 0.459 H
0.756 0.294 0.408 H
0.216 0.732 0.240 I
0.780 0.247 0.759 I
```

# 5
VASP calculation (SCAN) on a crystal of Ba2ZrIn relaxed with PBEsol.

Calculated values
The calculated total energy is -142.02 eV per cell. As for the space-group type: Pmmm (47).

```
Ba2ZrIn
1.0
3.593 0.000 0.000
0.000 5.282 0.000
0.000 0.000 6.931
Ba Zr In
2 1 1
Direct
0.000 0.000 0.247 Ba
0.000 0.000 0.753 Ba
0.500 0.500 0.500 Zr
0.500 0.500 0.000 In
```

# 6
VASP calculation (SCAN) on a crystal of GdNbO4 relaxed with PBEsol.

Calculated values
The calculation puts the formation energy without anion corrections at -3.3212 eV/atom. The calculated total energy is -273.60 eV per cell. As for the space-group type: C2/c (15).

```
GdNbO4
1.0
3.540 -5.531 0.000
3.540 5.531 0.000
-3.357 0.000 3.850
Gd Nb O
2 2 8
Direct
0.130 0.870 0.750 Gd
0.870 0.130 0.250 Gd
0.396 0.604 0.250 Nb
0.604 0.396 0.750 Nb
0.132 0.553 0.340 O
0.225 0.286 0.793 O
0.286 0.225 0.293 O
0.447 0.868 0.160 O
0.553 0.132 0.840 O
0.714 0.775 0.707 O
0.775 0.714 0.207 O
0.868 0.447 0.660 O
```

# 7
VASP calculation (SCAN) on a crystal of CeAlPt relaxed with PBEsol.

Calculated values
The calculated total energy is -504.80 eV per cell. As for the space-group type: Pnma (62).

```
CeAlPt
1.0
7.138 0.000 0.000
0.000 4.389 0.000
0.000 0.000 7.921
Ce Al Pt
4 4 4
Direct
0.025 0.250 0.186 Ce
0.475 0.750 0.686 Ce
0.525 0.250 0.314 Ce
0.975 0.750 0.814 Ce
0.149 0.250 0.568 Al
0.351 0.750 0.068 Al
0.649 0.250 0.932 Al
0.851 0.750 0.432 Al
0.223 0.750 0.393 Pt
0.277 0.250 0.893 Pt
0.723 0.750 0.107 Pt
0.777 0.250 0.607 Pt
```

# 8
VASP calculation (SCAN) on a crystal of La2AgRh relaxed with PBEsol.

Calculated values
The calculated total energy is -153.51 eV per cell. As for the space-group type: P4/mmm (123).

```
La2AgRh
1.0
3.613 0.000 0.000
0.000 3.613 0.000
0.000 0.000 7.345
La Ag Rh
2 1 1
Direct
0.000 0.000 0.226 La
0.000 0.000 0.774 La
0.500 0.500 0.500 Ag
0.500 0.500 0.000 Rh
```

# 9
VASP calculation (SCAN) on a crystal of LaAgP relaxed with PBEsol.

Calculated values
The calculated total energy is -87.67 eV per cell. As for the space-group type: P-6m2 (187).

```
LaAgP
1.0
4.266 0.000 0.000
-2.133 3.694 0.000
0.000 0.000 4.124
La Ag P
1 1 1
Direct
0.000 0.000 0.000 La
0.333 0.667 0.500 Ag
0.667 0.333 0.500 P
```

# 10
VASP calculation (SCAN) on a crystal of Ca3ZrFe relaxed with PBEsol.

Calculated values
The calculated total energy is -70.61 eV per cell. As for the space-group type: Pm-3m (221).

```
Ca3ZrFe
1.0
5.482 0.000 0.000
0.000 5.482 0.000
0.000 0.000 5.482
Ca Zr Fe
3 1 1
Direct
0.000 0.000 0.500 Ca
0.000 0.500 0.000 Ca
0.500 0.000 0.000 Ca
0.000 0.000 0.000 Zr
0.500 0.500 0.500 Fe
```

# 11
VASP calculation (SCAN) on a crystal of BeTcAu relaxed with PBEsol.

Calculated values
The calculated total energy is -106.89 eV per cell. As for the space-group type: F-43m (216).

```
BeTcAu
1.0
0.000 2.906 2.906
2.906 0.000 2.906
2.906 2.906 0.000
Be Tc Au
1 1 1
Direct
0.000 0.000 0.000 Be
0.500 0.500 0.500 Tc
0.750 0.750 0.750 Au
```

# 12
VASP calculation (SCAN) on a crystal of MgSiNi relaxed with PBEsol.

Calculated values
The calculation puts the formation energy without anion corrections at -0.2799 eV/atom. The calculated total energy is -32.00 eV per cell. As for the space-group type: P-6m2 (187).

```
MgSiNi
1.0
3.986 0.000 0.000
-1.993 3.452 0.000
0.000 0.000 3.052
Mg Si Ni
1 1 1
Direct
0.000 0.000 0.000 Mg
0.667 0.333 0.500 Si
0.333 0.667 0.500 Ni
```

# 13
VASP calculation (SCAN) on a crystal of Na2BePt2 relaxed with PBEsol.

Calculated values
The calculated total energy is -310.86 eV per cell. As for the space-group type: P4/mbm (127).

```
Na2BePt2
1.0
5.887 0.000 0.000
0.000 5.887 0.000
0.000 0.000 4.829
Na Be Pt
4 2 4
Direct
0.169 0.331 0.000 Na
0.331 0.831 0.000 Na
0.669 0.169 0.000 Na
0.831 0.669 0.000 Na
0.000 0.000 0.500 Be
0.500 0.500 0.500 Be
0.154 0.654 0.500 Pt
0.346 0.154 0.500 Pt
0.654 0.846 0.500 Pt
0.846 0.346 0.500 Pt
```

# 14
VASP calculation (SCAN) on a crystal of CuOsF2 relaxed with PBEsol.

Calculated values
The calculation puts the formation energy without anion corrections at -0.2673 eV/atom. The calculated total energy is -95.23 eV per cell. As for the space-group type: R-3m (166).

```
CuOsF2
1.0
1.308 0.755 7.768
-1.308 0.755 7.768
0.000 -1.510 7.768
Cu Os F
1 1 2
Direct
0.000 0.000 0.000 Cu
0.500 0.500 0.500 Os
0.079 0.079 0.079 F
0.921 0.921 0.921 F
```

# 15
VASP calculation (SCAN) on a crystal of TaCoRe relaxed with PBEsol.

Calculated values
The calculated total energy is -154.54 eV per cell. As for the space-group type: Imm2 (44).

```
TaCoRe
1.0
-1.341 1.693 4.705
1.341 -1.693 4.705
1.341 1.693 -4.705
Ta Co Re
1 1 1
Direct
0.000 0.000 0.000 Ta
0.321 0.321 0.000 Co
0.693 0.693 0.000 Re
```

# 16
VASP calculation (SCAN) on a crystal of CuPt relaxed with PBEsol.

Calculated values
The calculated total energy is -171.08 eV per cell. As for the space-group type: P-3m1 (164).

```
CuPt
1.0
2.673 0.000 0.000
-1.336 2.315 0.000
0.000 0.000 8.681
Cu Pt
2 2
Direct
0.333 0.667 0.387 Cu
0.667 0.333 0.613 Cu
0.333 0.667 0.859 Pt
0.667 0.333 0.141 Pt
```

# 17
VASP calculation (SCAN) on a crystal of Mg2PIr2 relaxed with PBEsol.

Calculated values
The calculated total energy is -330.32 eV per cell. As for the space-group type: P4/mbm (127).

```
Mg2PIr2
1.0
6.055 0.000 0.000
0.000 6.055 0.000
0.000 0.000 4.350
Mg P Ir
4 2 4
Direct
0.163 0.337 0.000 Mg
0.337 0.837 0.000 Mg
0.663 0.163 0.000 Mg
0.837 0.663 0.000 Mg
0.000 0.000 0.500 P
0.500 0.500 0.500 P
0.155 0.655 0.500 Ir
0.345 0.155 0.500 Ir
0.655 0.845 0.500 Ir
0.845 0.345 0.500 Ir
```

# 18
VASP calculation (SCAN) on a crystal of B2H2Os relaxed with PBEsol.

Calculated values
The calculated total energy is -180.82 eV per cell. As for the space-group type: P4/mbm (127).

```
B2H2Os
1.0
5.051 0.000 0.000
0.000 5.051 0.000
0.000 0.000 2.718
B H Os
4 4 2
Direct
0.120 0.380 0.000 B
0.380 0.880 0.000 B
0.620 0.120 0.000 B
0.880 0.620 0.000 B
0.227 0.273 0.500 H
0.273 0.773 0.500 H
0.727 0.227 0.500 H
0.773 0.727 0.500 H
0.000 0.000 0.500 Os
0.500 0.500 0.500 Os
```

# 19
VASP calculation (SCAN) on a crystal of CrHgSCl2 relaxed with PBEsol.

Calculated values
The calculation puts the formation energy without anion corrections at -0.5522 eV/atom. The calculated total energy is -114.90 eV per cell. As for the space-group type: P4/mmm (123).

```
CrHgSCl2
1.0
4.734 0.000 0.000
0.000 4.734 0.000
0.000 0.000 4.544
Cr Hg S Cl
1 1 1 2
Direct
0.000 0.000 0.000 Cr
0.500 0.500 0.500 Hg
0.000 0.000 0.500 S
0.000 0.500 0.000 Cl
0.500 0.000 0.000 Cl
```

# 20
VASP calculation (SCAN) on a crystal of BIrN2F relaxed with PBEsol.

Calculated values
The calculation puts the formation energy without anion corrections at 1.3361 eV/atom. The calculated total energy is -93.97 eV per cell. As for the space-group type: P4/mmm (123).

```
BIrN2F
1.0
3.752 0.000 0.000
0.000 3.752 0.000
0.000 0.000 4.390
B Ir N F
1 1 2 1
Direct
0.000 0.000 0.000 B
0.500 0.500 0.500 Ir
0.000 0.500 0.500 N
0.500 0.000 0.500 N
0.500 0.500 0.000 F
```

# 21
VASP calculation (SCAN) on a crystal of HfTlF5 relaxed with PBEsol.

Calculated values
The calculation puts the formation energy without anion corrections at -3.4713 eV/atom. The calculated total energy is -708.12 eV per cell. As for the space-group type: P2_1/c (14).

```
HfTlF5
1.0
7.250 0.000 0.000
0.000 7.841 0.000
-3.265 0.000 7.124
Hf Tl F
4 4 20
Direct
0.010 0.162 0.339 Hf
0.010 0.338 0.839 Hf
0.990 0.662 0.161 Hf
0.990 0.838 0.661 Hf
0.434 0.536 0.697 Tl
0.434 0.964 0.197 Tl
0.566 0.036 0.803 Tl
0.566 0.464 0.303 Tl
0.005 0.065 0.792 F
0.005 0.435 0.292 F
0.016 0.210 0.068 F
0.016 0.290 0.568 F
0.177 0.507 0.065 F
0.177 0.993 0.565 F
0.282 0.709 0.331 F
0.282 0.791 0.831 F
0.303 0.207 0.401 F
0.303 0.293 0.901 F
0.697 0.707 0.099 F
0.697 0.793 0.599 F
0.718 0.209 0.169 F
0.718 0.291 0.669 F
0.823 0.007 0.435 F
0.823 0.493 0.935 F
0.984 0.710 0.432 F
0.984 0.790 0.932 F
0.995 0.565 0.708 F
0.995 0.935 0.208 F
```

# 22
VASP calculation (SCAN) on a crystal of LiAl2Ag relaxed with PBEsol.

Calculated values
The calculated total energy is -49.88 eV per cell. As for the space-group type: Pmm2 (25).

```
LiAl2Ag
1.0
2.880 0.000 0.000
0.000 3.880 0.000
0.000 0.000 5.588
Li Al Ag
1 2 1
Direct
0.000 0.000 0.000 Li
0.000 0.000 0.496 Al
0.500 0.500 0.754 Al
0.500 0.500 0.245 Ag
```

# 23
VASP calculation (SCAN) on a crystal of Cs3NbCd relaxed with PBEsol.

Calculated values
The calculated total energy is -172.13 eV per cell. As for the space-group type: Pm-3m (221).

```
Cs3NbCd
1.0
7.086 0.000 0.000
0.000 7.086 0.000
0.000 0.000 7.086
Cs Nb Cd
3 1 1
Direct
0.000 0.000 0.500 Cs
0.000 0.500 0.000 Cs
0.500 0.000 0.000 Cs
0.000 0.000 0.000 Nb
0.500 0.500 0.500 Cd
```

# 24
VASP calculation (SCAN) on a crystal of SrMg2Re relaxed with PBEsol.

Calculated values
The calculated total energy is -100.73 eV per cell. As for the space-group type: Cm (8).

```
SrMg2Re
1.0
4.741 -1.453 0.000
4.741 1.453 0.000
-0.582 0.000 6.637
Sr Mg Re
1 2 1
Direct
0.000 0.000 0.000 Sr
0.235 0.235 0.641 Mg
0.488 0.488 0.439 Mg
0.748 0.748 0.284 Re
```

# 25
VASP calculation (SCAN) on a crystal of Cd2MoRu relaxed with PBEsol.

Calculated values
The calculated total energy is -128.64 eV per cell. As for the space-group type: Pmmm (47).

```
Cd2MoRu
1.0
3.120 0.000 0.000
0.000 4.443 0.000
0.000 0.000 4.770
Cd Mo Ru
2 1 1
Direct
0.000 0.000 0.000 Cd
0.500 0.500 0.000 Cd
0.000 0.500 0.500 Mo
0.500 0.000 0.500 Ru
```